No. 1
Computed, not measured: NaCrAgP after structural relaxation at the PBE level of DFT.

Values from the calculation:
**V**: 162 Å³ per cell
**Total moment**: 0.543 μB/atom
**Electronic total energy**: -5.00 eV/atom
**Energy of formation from the pure elements**: -0.20 eV/atom
**Symmetry**: P4/nmm

a b c (Å): 3.913 3.913 10.572
angles (deg): 90.00 90.00 90.00
Element x y z (fractional)
Na 0.250 0.250 0.245
Na 0.750 0.750 0.755
Cr 0.250 0.750 0.500
Cr 0.750 0.250 0.500
Ag 0.250 0.750 0.000
Ag 0.750 0.250 0.000
P 0.250 0.250 0.618
P 0.750 0.750 0.382

---

No. 2
Computed, not measured: Na2TiCrAg after structural relaxation at the PBE level of DFT.

Values from the calculation:
**V**: 131 Å³ per cell
**Total moment**: 0.367 μB/atom
**Electronic total energy**: -3.54 eV/atom
**Energy of formation from the pure elements**: 1.06 eV/atom
**Symmetry**: P4/mmm

a b c (Å): 5.386 5.386 4.503
angles (deg): 90.00 90.00 90.00
Element x y z (fractional)
Na 0.000 0.500 0.000
Na 0.500 0.000 0.000
Ti 0.000 0.000 0.500
Cr 0.000 0.000 0.000
Ag 0.500 0.500 0.500

---

No. 3
Computed, not measured: NaYCr2Ag after structural relaxation at the PBE level of DFT.

Values from the calculation:
**V**: 154 Å³ per cell
**Total moment**: 1.589 μB/atom
**Electronic total energy**: -4.59 eV/atom
**Energy of formation from the pure elements**: 1.39 eV/atom
**Symmetry**: P4/mmm

a b c (Å): 5.288 5.288 5.490
angles (deg): 90.00 90.00 90.00
Element x y z (fractional)
Na 0.000 0.000 0.000
Y 0.500 0.500 0.500
Cr 0.000 0.500 0.500
Cr 0.500 0.000 0.500
Ag 0.500 0.500 0.000

---

No. 4
Computed, not measured: Nb3CrAg after structural relaxation at the PBE level of DFT.

Values from the calculation:
**V**: 115 Å³ per cell
**Total moment**: 0.000 μB/atom
**Energy relative to the lowest polymorph listed for this composition**: 1434 meV/atom
**Electronic total energy**: -6.21 eV/atom
**Energy of formation from the pure elements**: 2.32 eV/atom
**Symmetry**: Pm-3m

a b c (Å): 4.859 4.859 4.859
angles (deg): 90.00 90.00 90.00
Element x y z (fractional)
Nb 0.000 0.000 0.500
Nb 0.000 0.500 0.000
Nb 0.500 0.000 0.000
Cr 0.500 0.500 0.500
Ag 0.000 0.000 0.000

---

Please write out number 1 again, unchanged.
Computed, not measured: NaCrAgP after structural relaxation at the PBE level of DFT.

Values from the calculation:
**V**: 162 Å³ per cell
**Total moment**: 0.543 μB/atom
**Electronic total energy**: -5.00 eV/atom
**Energy of formation from the pure elements**: -0.20 eV/atom
**Symmetry**: P4/nmm

a b c (Å): 3.913 3.913 10.572
angles (deg): 90.00 90.00 90.00
Element x y z (fractional)
Na 0.250 0.250 0.245
Na 0.750 0.750 0.755
Cr 0.250 0.750 0.500
Cr 0.750 0.250 0.500
Ag 0.250 0.750 0.000
Ag 0.750 0.250 0.000
P 0.250 0.250 0.618
P 0.750 0.750 0.382